Entry 1:
# LuTaTc2 (GGA-PBE, relaxed)
# - mass density (g/cm3) = 13.2
# - calculated formation energy (meV per atom) = -177
# - total magnetic moment (μB per formula unit) = 0.00
# - crystal system = tetragonal
# - total DFT energy (no corrections) (eV/atom) = -9.454
# - energy above the most stable polymorph in this dataset (kJ/mol of formula units) = 26.5
data_LuTaTc2
_chemical_formula_sum 'Lu1 Ta1 Tc2'
_symmetry_space_group_name_H-M 'P 4/m m m'
_symmetry_Int_Tables_number 123
_symmetry_space_group_name_Hall '-P 4 2'
_cell_length_a 4.627
_cell_length_b 4.627
_cell_length_c 3.236
_cell_angle_alpha 90.00
_cell_angle_beta 90.00
_cell_angle_gamma 90.00
loop_
_atom_site_label
_atom_site_type_symbol
_atom_site_fract_x
_atom_site_fract_y
_atom_site_fract_z
Lu1 Lu 0.000 0.000 0.000
Ta1 Ta 0.500 0.500 0.000
Tc1 Tc 0.000 0.500 0.500

---

Entry 2:
# GdI (GGA-PBE, relaxed)
# - mass density (g/cm3) = 7.8
# - total magnetic moment (μB per formula unit) = 6.84
# - formation energy (no corrections) (meV/atom) = -591.6
# - crystal system = cubic
# - total DFT energy (no corrections) (eV/atom) = -8.407
data_GdI
_chemical_formula_sum 'Gd4 I4'
_symmetry_space_group_name_H-M 'F m -3 m'
_symmetry_Int_Tables_number 225
_symmetry_space_group_name_Hall '-F 4 2 3'
_cell_length_a 6.238
_cell_length_b 6.238
_cell_length_c 6.238
_cell_angle_alpha 90.00
_cell_angle_beta 90.00
_cell_angle_gamma 90.00
loop_
_atom_site_label
_atom_site_type_symbol
_atom_site_fract_x
_atom_site_fract_y
_atom_site_fract_z
Gd1 Gd 0.000 0.000 0.000
I1 I 0.000 0.000 0.500

---

Entry 3:
# TiSn2SN (GGA-PBE, relaxed)
# - mass density (g/cm3) = 4.2
# - total magnetic moment (μB per formula unit) = 2.45
# - formation energy (no corrections) (meV/atom) = 882.9
# - crystal system = tetragonal
# - total DFT energy (no corrections) (eV/atom) = -4.788
data_TiSn2SN
_chemical_formula_sum 'Ti1 Sn2 S1 N1'
_symmetry_space_group_name_H-M 'P 4/m m m'
_symmetry_Int_Tables_number 123
_symmetry_space_group_name_Hall '-P 4 2'
_cell_length_a 5.377
_cell_length_b 5.377
_cell_length_c 4.545
_cell_angle_alpha 90.00
_cell_angle_beta 90.00
_cell_angle_gamma 90.00
loop_
_atom_site_label
_atom_site_type_symbol
_atom_site_fract_x
_atom_site_fract_y
_atom_site_fract_z
Ti1 Ti 0.000 0.000 0.000
Sn1 Sn 0.000 0.500 0.000
S1 S 0.000 0.000 0.500
N1 N 0.500 0.500 0.500

---

Entry 4:
# Hf2ZrMn (GGA-PBE, relaxed)
# - mass density (g/cm3) = 10.3
# - calculated formation energy (meV per atom) = 370
# - total magnetic moment (μB per formula unit) = 0.53
# - crystal system = tetragonal
# - total DFT energy (no corrections) (eV/atom) = -9.036
# - energy above the most stable polymorph in this dataset (kJ/mol of formula units) = 164.7
data_Hf2ZrMn
_chemical_formula_sum 'Hf8 Zr4 Mn4'
_symmetry_space_group_name_H-M 'I -4 2 d'
_symmetry_Int_Tables_number 122
_symmetry_space_group_name_Hall 'I -4 2bw'
_cell_length_a 7.514
_cell_length_b 7.514
_cell_length_c 5.766
_cell_angle_alpha 90.00
_cell_angle_beta 90.00
_cell_angle_gamma 90.00
loop_
_atom_site_label
_atom_site_type_symbol
_atom_site_fract_x
_atom_site_fract_y
_atom_site_fract_z
Hf1 Hf 0.193 0.250 0.125
Zr1 Zr 0.000 0.000 0.500
Mn1 Mn 0.000 0.000 0.000

---

Entry 5:
# V2AgGe (GGA-PBE, relaxed)
# - mass density (g/cm3) = 7.3
# - calculated formation energy (meV per atom) = 467
# - total magnetic moment (μB per formula unit) = 0.00
# - crystal system = tetragonal
# - total DFT energy (no corrections) (eV/atom) = -5.960
data_V2AgGe
_chemical_formula_sum 'V8 Ag4 Ge4'
_symmetry_space_group_name_H-M 'I -4 2 d'
_symmetry_Int_Tables_number 122
_symmetry_space_group_name_Hall 'I -4 2bw'
_cell_length_a 7.013
_cell_length_b 7.013
_cell_length_c 5.251
_cell_angle_alpha 90.00
_cell_angle_beta 90.00
_cell_angle_gamma 90.00
loop_
_atom_site_label
_atom_site_type_symbol
_atom_site_fract_x
_atom_site_fract_y
_atom_site_fract_z
V1 V 0.232 0.250 0.125
Ag1 Ag 0.000 0.000 0.500
Ge1 Ge 0.000 0.000 0.000

---

Entry 6:
# DyPuAgIr (GGA-PBE, relaxed)
# - mass density (g/cm3) = 13.4
# - calculated formation energy (meV per atom) = -351
# - total magnetic moment (μB per formula unit) = 5.62
# - crystal system = cubic
# - total DFT energy (no corrections) (eV/atom) = -8.013
data_DyPuAgIr
_chemical_formula_sum 'Dy4 Pu4 Ag4 Ir4'
_symmetry_space_group_name_H-M 'F -4 3 m'
_symmetry_Int_Tables_number 216
_symmetry_space_group_name_Hall 'F -4 2 3'
_cell_length_a 7.052
_cell_length_b 7.052
_cell_length_c 7.052
_cell_angle_alpha 90.00
_cell_angle_beta 90.00
_cell_angle_gamma 90.00
loop_
_atom_site_label
_atom_site_type_symbol
_atom_site_fract_x
_atom_site_fract_y
_atom_site_fract_z
Dy1 Dy 0.000 0.000 0.000
Pu1 Pu 0.000 0.000 0.500
Ag1 Ag 0.250 0.250 0.750
Ir1 Ir 0.250 0.250 0.250

---

Entry 7:
# CeH6Rh (GGA-PBE, relaxed)
# - mass density (g/cm3) = 5.8
# - total magnetic moment (μB per formula unit) = 0.99
# - crystal system = monoclinic
# - total DFT energy (no corrections) (eV/atom) = -4.490
# - energy above the most stable polymorph in this dataset (kJ/mol of formula units) = 54.9
data_CeH6Rh
_chemical_formula_sum 'Ce2 H12 Rh2'
_symmetry_space_group_name_H-M 'C 1 2/m 1'
_symmetry_Int_Tables_number 12
_symmetry_space_group_name_Hall '-C 2y'
_cell_length_a 5.534
_cell_length_b 6.315
_cell_length_c 4.189
_cell_angle_alpha 90.00
_cell_angle_beta 102.40
_cell_angle_gamma 90.00
loop_
_atom_site_label
_atom_site_type_symbol
_atom_site_fract_x
_atom_site_fract_y
_atom_site_fract_z
Ce1 Ce 0.000 0.000 0.000
H1 H 0.113 0.322 0.790
H2 H 0.213 0.000 0.568
Rh1 Rh 0.000 0.500 0.500

---

Entry 8:
# HoU3In3Se8 (GGA-PBE, relaxed)
# - mass density (g/cm3) = 6.7
# - total magnetic moment (μB per formula unit) = 8.00
# - formation energy (no corrections) (meV/atom) = -1005.6
# - crystal system = trigonal
# - total DFT energy (no corrections) (eV/atom) = -5.975
data_HoU3In3Se8
_chemical_formula_sum 'Ho3 U9 In9 Se24'
_symmetry_space_group_name_H-M 'R -3 m'
_symmetry_Int_Tables_number 166
_symmetry_space_group_name_Hall '-R 3 2"'
_cell_length_a 8.2416
_cell_length_b 8.2416
_cell_length_c 23.4328
_cell_angle_alpha 90.00
_cell_angle_beta 90.00
_cell_angle_gamma 120.00
loop_
_atom_site_label
_atom_site_type_symbol
_atom_site_fract_x
_atom_site_fract_y
_atom_site_fract_z
Ho1 Ho 0.0000 0.0000 0.0000
U1 U 0.0000 0.5000 0.0000
In1 In 0.0000 0.5000 0.5000
Se1 Se 0.0000 0.0000 0.2632
Se2 Se 0.9995 0.4998 0.2644

---

Entry 9:
# Ac2NdBr2N2 (GGA-PBE, relaxed)
# - mass density (g/cm3) = 7.1
# - total magnetic moment (μB per formula unit) = 0.00
# - formation energy (no corrections) (meV/atom) = -1248.8
# - crystal system = tetragonal
# - total DFT energy (no corrections) (eV/atom) = -5.960
data_Ac2NdBr2N2
_chemical_formula_sum 'Ac4 Nd2 Br4 N4'
_symmetry_space_group_name_H-M 'I 4/m m m'
_symmetry_Int_Tables_number 139
_symmetry_space_group_name_Hall '-I 4 2'
_cell_length_a 4.721
_cell_length_b 4.721
_cell_length_c 16.403
_cell_angle_alpha 90.00
_cell_angle_beta 90.00
_cell_angle_gamma 90.00
loop_
_atom_site_label
_atom_site_type_symbol
_atom_site_fract_x
_atom_site_fract_y
_atom_site_fract_z
Ac1 Ac 0.000 0.000 0.099
Nd1 Nd 0.000 0.000 0.500
Br1 Br 0.000 0.000 0.309
N1 N 0.000 0.500 0.000

---

Entry 10:
# Nd3AlCd2 (GGA-PBE, relaxed)
# - mass density (g/cm3) = 6.8
# - calculated formation energy (meV per atom) = -328
# - total magnetic moment (μB per formula unit) = 0.42
# - crystal system = tetragonal
# - total DFT energy (no corrections) (eV/atom) = -3.641
# - energy above the most stable polymorph in this dataset (kJ/mol of formula units) = 0.0
data_Nd3AlCd2
_chemical_formula_sum 'Nd3 Al1 Cd2'
_symmetry_space_group_name_H-M 'P 4/m m m'
_symmetry_Int_Tables_number 123
_symmetry_space_group_name_Hall '-P 4 2'
_cell_length_a 3.762
_cell_length_b 3.762
_cell_length_c 11.759
_cell_angle_alpha 90.00
_cell_angle_beta 90.00
_cell_angle_gamma 90.00
loop_
_atom_site_label
_atom_site_type_symbol
_atom_site_fract_x
_atom_site_fract_y
_atom_site_fract_z
Nd1 Nd 0.000 0.000 0.000
Nd2 Nd 0.000 0.000 0.344
Al1 Al 0.500 0.500 0.500
Cd1 Cd 0.500 0.500 0.170

---

Entry 11:
# CuGe2W (GGA-PBE, relaxed)
# - mass density (g/cm3) = 10.1
# - calculated formation energy (meV per atom) = 683
# - total magnetic moment (μB per formula unit) = 0.00
# - crystal system = tetragonal
# - total DFT energy (no corrections) (eV/atom) = -5.888
# - energy above the most stable polymorph in this dataset (kJ/mol of formula units) = 156.7
data_CuGe2W
_chemical_formula_sum 'Cu4 Ge8 W4'
_symmetry_space_group_name_H-M 'I -4 2 d'
_symmetry_Int_Tables_number 122
_symmetry_space_group_name_Hall 'I -4 2bw'
_cell_length_a 6.831
_cell_length_b 6.831
_cell_length_c 5.558
_cell_angle_alpha 90.00
_cell_angle_beta 90.00
_cell_angle_gamma 90.00
loop_
_atom_site_label
_atom_site_type_symbol
_atom_site_fract_x
_atom_site_fract_y
_atom_site_fract_z
Cu1 Cu 0.000 0.000 0.000
Ge1 Ge 0.229 0.250 0.125
W1 W 0.000 0.000 0.500

---

Entry 12:
# TmCu2Ag (GGA-PBE, relaxed)
# - mass density (g/cm3) = 9.7
# - calculated formation energy (meV per atom) = -159
# - total magnetic moment (μB per formula unit) = 0.00
# - crystal system = cubic
# - total DFT energy (no corrections) (eV/atom) = -4.037
# - energy above the most stable polymorph in this dataset (kJ/mol of formula units) = 0.0
data_TmCu2Ag
_chemical_formula_sum 'Tm4 Cu8 Ag4'
_symmetry_space_group_name_H-M 'F m -3 m'
_symmetry_Int_Tables_number 225
_symmetry_space_group_name_Hall '-F 4 2 3'
_cell_length_a 6.508
_cell_length_b 6.508
_cell_length_c 6.508
_cell_angle_alpha 90.00
_cell_angle_beta 90.00
_cell_angle_gamma 90.00
loop_
_atom_site_label
_atom_site_type_symbol
_atom_site_fract_x
_atom_site_fract_y
_atom_site_fract_z
Tm1 Tm 0.000 0.000 0.000
Cu1 Cu 0.250 0.250 0.250
Ag1 Ag 0.000 0.000 0.500